(1)
CuSb | PBE | optimized geometry

Output
- Energy relative to the elements, uncorrected: 0.125 eV per atom
- Calculated total energy: -3.984 eV/atom
- Symmetry: Cm (8)

Cell lengths 6.5297, 6.5297, 5.0916 Å; angles 112.77, 112.77, 37.25 degrees
Last column: nearest neighbours and their distance in Å.
Fractional positions:
Cu 0.0000 0.0000 0.0000  3 Cu 2.56-2.66, 6 Sb 2.70-2.83
Cu 0.2354 0.2354 0.2465  1 Cu 2.66, 6 Sb 2.70-2.90
Cu 0.5476 0.5476 0.3202  2 Cu 2.56, 5 Sb 2.68-2.84
Sb 0.3309 0.3309 0.8265  5 Cu 2.70-2.83
Sb 0.6303 0.6303 0.8961  6 Cu 2.68-2.82
Sb 0.9134 0.9134 0.4199  6 Cu 2.70-2.90

=====

(2)
Ba2CdH6Ru | PBE | optimized geometry

Output
- Calculated total energy: -3.686 eV/atom
- Symmetry: P-3m1 (164)

Cell lengths 5.8123, 5.8123, 5.3532 Å; angles 90.00, 90.00, 120.00 degrees
Last column: nearest neighbours and their distance in Å.
Fractional positions:
Ba 0.3333 0.6667 0.2849  9 H 2.79-2.92
Ba 0.6667 0.3333 0.7151  9 H 2.79-2.92
Cd 0.0000 0.0000 0.0000  6 H 2.30
H 0.1491 0.2981 0.6754  1 Ru 1.77
H 0.1491 0.8509 0.6754  1 Ru 1.77
H 0.2981 0.1491 0.3246  1 Ru 1.77
H 0.7019 0.8509 0.6754  1 Ru 1.77
H 0.8509 0.1491 0.3246  1 Ru 1.77
H 0.8509 0.7019 0.3246  1 Ru 1.77
Ru 0.0000 0.0000 0.5000  6 H 1.77

=====

(3)
Er4TcBi | PBE | optimized geometry

Output
- Calculated total energy: -5.804 eV/atom
- Energy of formation: -8.94 kcal/mol of atoms
- Symmetry: Pnma (62)

Cell lengths 8.0374, 4.2706, 18.9386 Å; angles 90.00, 90.00, 90.00 degrees
Last column: nearest neighbours and their distance in Å.
Fractional positions:
Er 0.0021 0.2500 0.0635  3 Tc 2.89-3.08, 1 Bi 3.15, 2 Er 3.22
Er 0.0682 0.7500 0.2060  1 Tc 3.10, 4 Bi 3.24-3.29
Er 0.1183 0.7500 0.6394  2 Tc 2.83
Er 0.1465 0.7500 0.4554  3 Tc 3.05-3.24
Er 0.3535 0.2500 0.9554  3 Tc 3.05-3.24
Er 0.3817 0.2500 0.1394  2 Tc 2.83
Er 0.4318 0.2500 0.7060  1 Tc 3.10, 4 Bi 3.24-3.29
Er 0.4979 0.7500 0.5635  3 Tc 2.89-3.08, 1 Bi 3.15, 2 Er 3.22
Er 0.5021 0.2500 0.4365  3 Tc 2.89-3.08, 1 Bi 3.15, 2 Er 3.22
Er 0.5682 0.7500 0.2940  1 Tc 3.10, 4 Bi 3.24-3.29
Er 0.6183 0.7500 0.8606  2 Tc 2.83
Er 0.6465 0.7500 0.0446  3 Tc 3.05-3.24
Er 0.8535 0.2500 0.5446  3 Tc 3.05-3.24
Er 0.8817 0.2500 0.3606  2 Tc 2.83
Er 0.9318 0.2500 0.7940  1 Tc 3.10, 4 Bi 3.24-3.29
Er 0.9979 0.7500 0.9365  3 Tc 2.89-3.08, 1 Bi 3.15, 2 Er 3.22
Tc 0.2452 0.7500 0.0607  8 Er 2.83-3.10
Tc 0.2548 0.2500 0.5607  8 Er 2.83-3.10
Tc 0.7452 0.7500 0.4393  8 Er 2.83-3.10
Tc 0.7548 0.2500 0.9393  8 Er 2.83-3.10
Bi 0.2418 0.7500 0.8065  7 Er 3.15-3.32
Bi 0.2582 0.2500 0.3065  7 Er 3.15-3.32
Bi 0.7418 0.7500 0.6935  7 Er 3.15-3.32
Bi 0.7582 0.2500 0.1935  7 Er 3.15-3.32

=====

(4)
Ba2AsBr | PBE | optimized geometry

Output
- Energy relative to the elements, uncorrected: -1.426 eV per atom
- Calculated total energy: -3.968 eV/atom
- Symmetry: P2/m (10)

Cell lengths 4.0638, 4.0648, 8.4196 Å; angles 90.00, 90.16, 90.00 degrees
Last column: nearest neighbours and their distance in Å.
Fractional positions:
Ba 0.0063 0.0000 0.2119  4 As 3.37-3.39, 1 Ba 3.57, 2 Br 3.74
Ba 0.9937 0.0000 0.7881  4 As 3.37-3.39, 1 Ba 3.57, 2 Br 3.74
As 0.5000 0.5000 0.0000  8 Ba 3.37-3.39
Br 0.5000 0.5000 0.5000  8 Ba 3.74-3.78, 4 Br 4.06

=====

(5)
CrIn2Mo | PBE | optimized geometry

Output
- Offset from the most stable computed form: 0.000 eV per atom
- Calculated total energy: -6.250 eV/atom
- Energy of formation: 5.38 kcal/mol of atoms
- Symmetry: Amm2 (38)

Cell lengths 3.0788, 8.0161, 8.0161 Å; angles 22.58, 90.00, 90.00 degrees
Last column: nearest neighbours and their distance in Å.
Fractional positions:
Cr 0.0000 0.0000 0.0000  4 Mo 2.52
In 0.0000 0.7941 0.7941  4 Mo 2.98, 6 In 3.08-3.15, 1 Cr 3.24
In 0.5000 0.6192 0.6192  4 Cr 2.89, 6 In 3.08-3.15, 1 Mo 3.10
Mo 0.5000 0.4222 0.4222  4 Cr 2.52

=====

(6)
BaCo2Pb | PBE | optimized geometry

Output
- Offset from the most stable computed form: 0.608 eV per atom
- Calculated total energy: -4.257 eV/atom
- Energy of formation: 16.23 kcal/mol of atoms
- Symmetry: C2/m (12)

Cell lengths 4.9567, 4.9567, 3.5427 Å; angles 90.29, 90.29, 90.03 degrees
Last column: nearest neighbours and their distance in Å.
Fractional positions:
Ba 0.0000 0.0000 0.0000  8 Co 3.04-3.05
Co 0.0000 0.5000 0.5000  4 Ba 3.04-3.05, 4 Pb 3.04-3.05
Co 0.5000 0.0000 0.5000  4 Ba 3.04-3.05, 4 Pb 3.04-3.05
Pb 0.5000 0.5000 0.0000  8 Co 3.04-3.05